Computed, not measured: an optimized crystal structure of PrScGe2Pd5 at the PBE-GGA level of DFT.

a = 4.228 Å, b = 4.228 Å, c = 9.188 Å
α = 90.00°, β = 90.00°, γ = 90.00°
Sites, in units of the cell vectors:
Pd 0.500 0.500 0.500
Pd 0.500 0.000 0.267
Pd 0.500 0.000 0.733
Pd 0.000 0.500 0.267
Pd 0.000 0.500 0.733
Pr 0.000 0.000 0.500
Ge 0.500 0.500 0.870
Ge 0.500 0.500 0.130
Sc 0.000 0.000 0.000

Output
total DFT energy (no corrections)	-52.6	eV/cell
SG	P4/mmm
calculated formation energy	-0.70	eV/atom
M_tot	0.00	μB per formula unit

---

Computed, not measured: an optimized crystal structure of Pr2SiGe4Pd3 at the PBE-GGA level of DFT.

a = 4.360 Å, b = 4.360 Å, c = 10.281 Å
α = 90.00°, β = 90.00°, γ = 90.00°
Sites, in units of the cell vectors:
Pd 0.000 0.000 0.500
Pd 0.000 0.500 0.127
Pd 0.500 0.000 0.873
Pr 0.000 0.500 0.752
Pr 0.500 0.000 0.248
Si 0.500 0.500 0.500
Ge 0.500 0.000 0.634
Ge 0.000 0.000 0.000
Ge 0.000 0.500 0.366
Ge 0.500 0.500 0.000

Output
total DFT energy (no corrections)	-56.0	eV/cell
formation energy from raw total energies	-0.700	eV per atom
SG	P-4m2
M_tot	0.00	μB per formula unit

---

Computed, not measured: an optimized crystal structure of Pr2SiGe3Pd4 at the PBE-GGA level of DFT.

a = 4.361 Å, b = 4.361 Å, c = 10.073 Å
α = 90.00°, β = 90.00°, γ = 90.00°
Sites, in units of the cell vectors:
Pd 0.500 0.000 0.620
Pd 0.500 0.500 0.000
Pd 0.000 0.000 0.000
Pd 0.000 0.500 0.380
Ge 0.000 0.000 0.500
Ge 0.000 0.500 0.131
Ge 0.500 0.000 0.869
Pr 0.500 0.000 0.255
Pr 0.000 0.500 0.745
Si 0.500 0.500 0.500

Output
total DFT energy (no corrections)	-57.9	eV/cell
formation energy from raw total energies	-0.834	eV per atom
SG	P-4m2
M_tot	0.00	μB per formula unit

---

Computed, not measured: an optimized crystal structure of Pr2Si3GePd4 at the PBE-GGA level of DFT.

a = 4.307 Å, b = 4.307 Å, c = 9.993 Å
α = 90.00°, β = 90.00°, γ = 90.00°
Sites, in units of the cell vectors:
Pd 0.500 0.500 0.000
Pd 0.500 0.000 0.629
Pd 0.000 0.000 0.000
Pd 0.000 0.500 0.371
Si 0.500 0.000 0.874
Si 0.000 0.000 0.500
Si 0.000 0.500 0.126
Ge 0.500 0.500 0.500
Pr 0.000 0.500 0.747
Pr 0.500 0.000 0.253

Output
total DFT energy (no corrections)	-59.9	eV/cell
formation energy from raw total energies	-0.873	eV per atom
SG	P-4m2
M_tot	0.00	μB per formula unit

---

Computed, not measured: an optimized crystal structure of PrSmGe2Pd2 at the PBE-GGA level of DFT.

a = 4.366 Å, b = 4.366 Å, c = 8.007 Å
α = 90.00°, β = 90.00°, γ = 120.00°
Sites, in units of the cell vectors:
Pd 0.333 0.667 0.735
Pd 0.667 0.333 0.265
Sm 0.000 0.000 0.500
Pr 0.000 0.000 0.000
Ge 0.667 0.333 0.749
Ge 0.333 0.667 0.251

Output
total DFT energy (no corrections)	-34.5	eV/cell
SG	P-3m1
calculated formation energy	-0.89	eV/atom
M_tot	0.00	μB per formula unit

---

Computed, not measured: an optimized crystal structure of Pr3SnGe2Pd9 at the PBE-GGA level of DFT.

a = 6.526 Å, b = 6.526 Å, c = 9.279 Å
α = 90.00°, β = 90.00°, γ = 120.00°
Sites, in units of the cell vectors:
Pd 0.142 0.283 0.274
Pd 0.500 0.500 0.000
Pd 0.142 0.858 0.274
Pd 0.283 0.142 0.726
Pd 0.000 0.500 0.000
Pd 0.500 0.000 0.000
Pd 0.858 0.142 0.726
Pd 0.717 0.858 0.274
Pd 0.858 0.717 0.726
Pr 0.667 0.333 0.278
Pr 0.333 0.667 0.722
Pr 0.000 0.000 0.000
Ge 0.333 0.667 0.175
Ge 0.667 0.333 0.825
Sn 0.000 0.000 0.500

Output
total DFT energy (no corrections)	-82.4	eV/cell
SG	P-3m1
calculated formation energy	-0.54	eV/atom
M_tot	0.00	μB per formula unit

---

Computed, not measured: an optimized crystal structure of Pr2SnGe4Pd3 at the PBE-GGA level of DFT.

a = 4.376 Å, b = 4.376 Å, c = 10.753 Å
α = 90.00°, β = 90.00°, γ = 90.00°
Sites, in units of the cell vectors:
Pd 0.000 0.000 0.500
Pd 0.500 0.000 0.880
Pd 0.000 0.500 0.120
Ge 0.000 0.500 0.346
Ge 0.500 0.000 0.654
Ge 0.000 0.000 0.000
Ge 0.500 0.500 0.000
Pr 0.000 0.500 0.765
Pr 0.500 0.000 0.235
Sn 0.500 0.500 0.500

Output
total DFT energy (no corrections)	-54.6	eV/cell
SG	P-4m2
calculated formation energy	-0.70	eV/atom
M_tot	0.00	μB per formula unit

---

Computed, not measured: an optimized crystal structure of PrSn2Ge2Pd7 at the PBE-GGA level of DFT.

a = 4.079 Å, b = 4.079 Å, c = 14.304 Å
α = 82.76°, β = 82.76°, γ = 88.79°
Sites, in units of the cell vectors:
Sn 0.105 0.105 0.617
Sn 0.895 0.895 0.383
Pd 0.069 0.571 0.841
Pd 0.350 0.350 0.434
Pd 0.500 0.500 0.000
Pd 0.931 0.429 0.159
Pd 0.571 0.069 0.841
Pd 0.429 0.931 0.159
Pd 0.650 0.650 0.566
Ge 0.610 0.610 0.740
Ge 0.390 0.390 0.260
Pr 0.000 0.000 0.000

Output
total DFT energy (no corrections)	-63.5	eV/cell
SG	C2/m
calculated formation energy	-0.42	eV/atom
M_tot	0.00	μB per formula unit

---

no.,V (Å³/atom),calculated density (g/cm3)
1,18.25,8.73
2,19.54,7.81
3,19.15,8.27
4,18.54,7.74
5,22.03,8.16
6,22.81,7.98
7,20.59,8.15
8,19.52,8.99